Material: CaTa2Mn
Method: DFT, PBE
State: relaxed

Unit cell a=5.8736 b=5.8738 c=2.8343 alpha=80.95 beta=80.95 gamma=122.88
Sites, in units of the cell vectors:
Ta  0.5000  0.5000  0.0000
Mn  0.0000  0.5000  0.5000
Ca  0.5000  0.0000  0.5000
Ta  0.0000  0.0000  0.0000

Output
spin magnetization: 0.72 μB per atom
uncorrected energy: -0.29495 Ha/atom

---

Material: TcSBr2
Method: DFT, PBE
State: relaxed

Unit cell a=10.4364 b=10.4364 c=10.4364 alpha=17.92 beta=17.92 gamma=17.92
Sites, in units of the cell vectors:
Br  0.8910  0.8910  0.8910
Tc  0.5000  0.5000  0.5000
S  0.0000  0.0000  0.0000
Br  0.1090  0.1090  0.1090

Output
ΔE_f (raw): 603 meV/atom
spin magnetization: 0.03 μB per atom
uncorrected energy: -0.14173 Ha/atom

---

Material: TlCo2Ni
Method: DFT, PBE
State: relaxed

Unit cell a=8.3861 b=8.3861 c=8.3861 alpha=19.71 beta=19.71 gamma=19.71
Sites, in units of the cell vectors:
Tl  0.7500  0.7500  0.7500
Co  0.9902  0.9902  0.9902
Ni  0.2500  0.2500  0.2500
Co  0.5098  0.5098  0.5098

Output
spin magnetization: 0.94 μB per atom
uncorrected energy: -0.18083 Ha/atom